# 1
Li2TlPb (PBEsol, optimized geometry); space-group type = No. 122; energy above the most stable polymorph in this dataset = 19.8 kJ/mol of atoms
1.0
-3.844 3.844 3.157
3.844 -3.844 3.157
3.844 3.844 -3.157
Li Tl Pb
4 2 2
direct
0.119 0.625 0.994
0.375 0.369 0.494
0.631 0.125 0.006
0.875 0.881 0.506
0.000 0.000 0.000
0.750 0.250 0.500
0.250 0.750 0.500
0.500 0.500 0.000

# 2
LiTl2Pb (PBEsol, optimized geometry); space-group type = No. 25; energy above the most stable polymorph in this dataset = 2.6 kJ/mol of atoms
1.0
3.463 0.000 0.000
0.000 4.564 0.000
0.000 0.000 6.532
Li Tl Pb
1 2 1
direct
0.000 0.000 0.000
0.000 0.000 0.502
0.500 0.500 0.755
0.500 0.500 0.238

# 3
LiTlPb2 (PBEsol, optimized geometry); space-group type = No. 123
1.0
3.468 0.000 0.000
0.000 3.468 0.000
0.000 0.000 8.515
Li Tl Pb
1 1 2
direct
0.000 0.000 0.000
0.000 0.000 0.500
0.500 0.500 0.211
0.500 0.500 0.789

# 4
LiTlPb2 (PBEsol, optimized geometry); space-group type = No. 10
1.0
3.577 0.000 0.000
0.000 4.416 0.000
-0.009 0.000 6.656
Li Tl Pb
1 1 2
direct
0.000 0.000 0.000
0.000 0.000 0.500
0.500 0.500 0.240
0.500 0.500 0.760

# 5
Li2TlPb (PBEsol, optimized geometry); space-group type = No. 166; energy above the most stable polymorph in this dataset = 8.4 kJ/mol of atoms
1.0
1.666 0.962 9.338
-1.666 0.962 9.338
0.000 -1.924 9.338
Li Tl Pb
2 1 1
direct
0.250 0.250 0.250
0.750 0.750 0.750
0.000 0.000 0.000
0.500 0.500 0.500

# 6
LiTl2Pb (PBEsol, optimized geometry); space-group type = No. 47; energy above the most stable polymorph in this dataset = 3.1 kJ/mol of atoms
1.0
3.817 0.000 0.000
0.000 5.211 0.000
0.000 0.000 5.244
Li Tl Pb
1 2 1
direct
0.000 0.000 0.000
0.000 0.500 0.500
0.500 0.500 0.000
0.500 0.000 0.500

# 7
LiTlPb2 (PBEsol, optimized geometry); space-group type = No. 166
1.0
1.720 0.993 10.347
-1.720 0.993 10.347
0.000 -1.987 10.347
Li Tl Pb
1 1 2
direct
0.000 0.000 0.000
0.500 0.500 0.500
0.257 0.257 0.257
0.743 0.743 0.743

# 8
Li2TlPb (PBEsol, optimized geometry); space-group type = No. 25; energy above the most stable polymorph in this dataset = 6.7 kJ/mol of atoms
1.0
3.695 0.000 0.000
0.000 3.962 0.000
0.000 0.000 6.004
Li Tl Pb
2 1 1
direct
0.000 0.000 0.000
0.500 0.500 0.271
0.500 0.500 0.792
0.000 0.000 0.493

# 9
LiTl2Pb (PBEsol, optimized geometry); space-group type = No. 99; energy above the most stable polymorph in this dataset = 0.3 kJ/mol of atoms
1.0
3.362 0.000 0.000
0.000 3.362 0.000
0.000 0.000 8.849
Li Tl Pb
1 2 1
direct
0.000 0.000 0.000
0.000 0.000 0.513
0.500 0.500 0.796
0.500 0.500 0.217

# 10
Li2TlPb (PBEsol, optimized geometry); space-group type = No. 123; energy above the most stable polymorph in this dataset = 0.0 kJ/mol of atoms
1.0
4.986 0.000 0.000
0.000 4.986 0.000
0.000 0.000 3.356
Li Tl Pb
2 1 1
direct
0.000 0.500 0.000
0.500 0.000 0.000
0.000 0.000 0.500
0.500 0.500 0.500

# 11
LiTl2Pb (PBEsol, optimized geometry); space-group type = No. 123; energy above the most stable polymorph in this dataset = 0.0 kJ/mol of atoms
1.0
3.368 0.000 0.000
0.000 3.368 0.000
0.000 0.000 8.762
Li Tl Pb
1 2 1
direct
0.000 0.000 0.000
0.500 0.500 0.214
0.500 0.500 0.786
0.000 0.000 0.500

# 12
LiTl2Pb (PBEsol, optimized geometry); space-group type = No. 44; energy above the most stable polymorph in this dataset = 1.8 kJ/mol of atoms
1.0
-1.885 2.652 5.132
1.885 -2.652 5.132
1.885 2.652 -5.132
Li Tl Pb
1 2 1
direct
0.000 0.000 0.000
0.507 0.507 0.000
0.776 0.276 0.500
0.237 0.737 0.500

| no. | calculated formation energy (meV/atom) |
| --- | --- |
| 1 | -72 |
| 2 | -89 |
| 3 | -131 |
| 4 | -100 |
| 5 | -191 |
| 6 | -84 |
| 7 | -72 |
| 8 | -208 |
| 9 | -114 |
| 10 | -278 |
| 11 | -116 |
| 12 | -98 |